{"formula": "CuB2As", "functional": "GGA-PBE", "state": "optimized geometry", "lattice_angstrom": [[0.0000, 2.8572, 2.8572], [2.8572, 0.0000, 2.8572], [2.8572, 2.8572, 0.0000]], "species": ["Cu", "B", "B", "As"], "fractional_positions": [[0.0000, 0.0000, 0.0000], [0.5000, 0.5000, 0.5000], [0.7500, 0.7500, 0.7500], [0.2500, 0.2500, 0.2500]], "crystal_system": "cubic", "final_energy_ev_per_atom": -3.935}

***

{"formula": "NaYCdTe3", "functional": "GGA-PBE", "state": "optimized geometry", "lattice_angstrom": [[11.7071, 0.0000, 0.0000], [0.0000, 4.4009, 0.0000], [0.0000, 0.0000, 14.7513]], "species": ["Na", "Na", "Na", "Na", "Y", "Y", "Y", "Y", "Cd", "Cd", "Cd", "Cd", "Te", "Te", "Te", "Te", "Te", "Te", "Te", "Te", "Te", "Te", "Te", "Te"], "fractional_positions": [[0.2444, 0.2500, 0.0201], [0.2556, 0.7500, 0.5201], [0.7444, 0.2500, 0.4799], [0.7556, 0.7500, 0.9799], [0.0034, 0.7500, 0.7491], [0.4966, 0.2500, 0.2491], [0.5034, 0.7500, 0.7509], [0.9966, 0.2500, 0.2509], [0.2471, 0.7500, 0.2225], [0.2529, 0.2500, 0.7225], [0.7471, 0.7500, 0.2775], [0.7529, 0.2500, 0.7775], [0.0535, 0.7500, 0.1097], [0.0609, 0.2500, 0.6084], [0.2467, 0.2500, 0.3448], [0.2533, 0.7500, 0.8448], [0.4391, 0.7500, 0.1084], [0.4465, 0.2500, 0.6097], [0.5535, 0.7500, 0.3903], [0.5609, 0.2500, 0.8916], [0.7467, 0.2500, 0.1552], [0.7533, 0.7500, 0.6552], [0.9391, 0.7500, 0.3916], [0.9465, 0.2500, 0.8903]], "crystal_system": "orthorhombic", "final_energy_ev_per_atom": -3.986, "total_magnetization_mub_per_fu": 0.00}